[1]
{
  "formula": "BaScSe2O8",
  "functional": "GGA-PBE",
  "state": "optimized geometry",
  "dft_energy_ev_per_atom": -6.20,
  "dos_ef_per_ev_atom": 0.255,
  "cell": [[5.6543, 0.0000, 0.0000], [-2.8271, 4.8968, 0.0000], [0.0000, 0.0000, 7.6178]],
  "species": ["Ba", "Sc", "Se", "Se", "O", "O", "O", "O", "O", "O", "O", "O"],
  "frac_coords": [[0.0000, 0.0000, 0.0000], [0.0000, 0.0000, 0.5000], [0.3333, 0.6667, 0.7389], [0.6667, 0.3333, 0.2611], [0.1456, 0.3215, 0.6834], [0.1759, 0.8544, 0.6834], [0.3215, 0.1759, 0.3166], [0.3333, 0.6667, 0.9584], [0.6667, 0.3333, 0.0416], [0.6785, 0.8241, 0.6834], [0.8241, 0.1456, 0.3166], [0.8544, 0.6785, 0.3166]]
}

---

[2]
{
  "formula": "BaScSiO4",
  "functional": "GGA-PBE",
  "state": "optimized geometry",
  "dft_energy_ev_per_atom": -7.45,
  "dos_ef_per_ev_atom": 0.285,
  "cell": [[0.0000, 4.1516, 4.1516], [4.1516, 0.0000, 4.1516], [4.1516, 4.1516, 0.0000]],
  "species": ["Ba", "Sc", "Si", "O", "O", "O", "O"],
  "frac_coords": [[0.0000, 0.0000, 0.0000], [0.7500, 0.7500, 0.7500], [0.5000, 0.5000, 0.5000], [0.1570, 0.6143, 0.6143], [0.6143, 0.1570, 0.6143], [0.6143, 0.6143, 0.1570], [0.6143, 0.6143, 0.6143]]
}

---

[3]
{
  "formula": "Ba2ScSiO6",
  "functional": "GGA-PBE",
  "state": "optimized geometry",
  "dft_energy_ev_per_atom": -7.22,
  "dos_ef_per_ev_atom": 0.416,
  "cell": [[5.8916, 0.0000, 0.0000], [-2.9458, 5.1023, 0.0000], [0.0000, 0.0000, 5.1987]],
  "species": ["Ba", "Ba", "Sc", "Si", "O", "O", "O", "O", "O", "O"],
  "frac_coords": [[0.3333, 0.6667, 0.1753], [0.6667, 0.3333, 0.8247], [0.0000, 0.0000, 0.5000], [0.0000, 0.0000, 0.0000], [0.1435, 0.2869, 0.7917], [0.1435, 0.8565, 0.7917], [0.2869, 0.1435, 0.2083], [0.7131, 0.8565, 0.7917], [0.8565, 0.1435, 0.2083], [0.8565, 0.7131, 0.2083]]
}

---

[4]
{
  "formula": "BaSm2Sc2O7",
  "functional": "GGA-PBE",
  "state": "optimized geometry",
  "dft_energy_ev_per_atom": -8.26,
  "dos_ef_per_ev_atom": 0.000,
  "cell": [[5.8395, 0.0000, 0.0000], [0.0000, 5.8395, 0.0000], [0.0000, 0.0000, 20.2238]],
  "species": ["Ba", "Ba", "Ba", "Ba", "Sm", "Sm", "Sm", "Sm", "Sm", "Sm", "Sm", "Sm", "Sc", "Sc", "Sc", "Sc", "Sc", "Sc", "Sc", "Sc", "O", "O", "O", "O", "O", "O", "O", "O", "O", "O", "O", "O", "O", "O", "O", "O", "O", "O", "O", "O", "O", "O", "O", "O", "O", "O", "O", "O"],
  "frac_coords": [[0.2392, 0.2392, 0.0000], [0.2608, 0.7392, 0.5000], [0.7392, 0.2608, 0.5000], [0.7608, 0.7608, 0.0000], [0.2207, 0.2207, 0.1852], [0.2207, 0.2207, 0.8148], [0.2793, 0.7207, 0.3148], [0.2793, 0.7207, 0.6852], [0.7207, 0.2793, 0.3148], [0.7207, 0.2793, 0.6852], [0.7793, 0.7793, 0.1852], [0.7793, 0.7793, 0.8148], [0.2407, 0.2407, 0.3965], [0.2407, 0.2407, 0.6035], [0.2593, 0.7407, 0.1035], [0.2593, 0.7407, 0.8965], [0.7407, 0.2593, 0.1035], [0.7407, 0.2593, 0.8965], [0.7593, 0.7593, 0.3965], [0.7593, 0.7593, 0.6035], [0.0000, 0.0000, 0.0948], [0.0000, 0.0000, 0.3681], [0.0000, 0.0000, 0.6319], [0.0000, 0.0000, 0.9052], [0.0000, 0.5000, 0.1163], [0.0000, 0.5000, 0.3837], [0.0000, 0.5000, 0.6163], [0.0000, 0.5000, 0.8837], [0.1806, 0.8194, 0.2115], [0.1806, 0.8194, 0.7885], [0.2148, 0.2148, 0.5000], [0.2852, 0.7148, 0.0000], [0.3194, 0.3194, 0.2885], [0.3194, 0.3194, 0.7115], [0.5000, 0.0000, 0.1163], [0.5000, 0.0000, 0.3837], [0.5000, 0.0000, 0.6163], [0.5000, 0.0000, 0.8837], [0.5000, 0.5000, 0.1319], [0.5000, 0.5000, 0.4052], [0.5000, 0.5000, 0.5948], [0.5000, 0.5000, 0.8681], [0.6806, 0.6806, 0.2885], [0.6806, 0.6806, 0.7115], [0.7148, 0.2852, 0.0000], [0.7852, 0.7852, 0.5000], [0.8194, 0.1806, 0.2115], [0.8194, 0.1806, 0.7885]]
}

---

[5]
{
  "formula": "BaSm2ScO5",
  "functional": "GGA-PBE",
  "state": "optimized geometry",
  "dft_energy_ev_per_atom": -7.85,
  "dos_ef_per_ev_atom": 0.221,
  "cell": [[-1.9961, 2.9844, 5.8361], [1.9961, -2.9844, 5.8361], [1.9961, 2.9844, -5.8361]],
  "species": ["Ba", "Sm", "Sm", "Sc", "O", "O", "O", "O", "O"],
  "frac_coords": [[0.0000, 0.0000, 0.0000], [0.2859, 0.7859, 0.5000], [0.7141, 0.2141, 0.5000], [0.5000, 0.5000, 0.0000], [0.1242, 0.3583, 0.7658], [0.4075, 0.6417, 0.7658], [0.5000, 0.0000, 0.5000], [0.5925, 0.3583, 0.2342], [0.8758, 0.6417, 0.2342]]
}

---

[6]
{
  "formula": "BaSc2Sn2O",
  "functional": "GGA-PBE",
  "state": "optimized geometry",
  "dft_energy_ev_per_atom": -5.99,
  "dos_ef_per_ev_atom": 0.535,
  "cell": [[4.5718, 0.0000, 0.0000], [0.0000, 4.5718, 0.0000], [0.0000, 0.0000, 6.8973]],
  "species": ["Ba", "Sc", "Sc", "Sn", "Sn", "O"],
  "frac_coords": [[0.0000, 0.0000, 0.0000], [0.0000, 0.5000, 0.5000], [0.5000, 0.0000, 0.5000], [0.5000, 0.5000, 0.2168], [0.5000, 0.5000, 0.7832], [0.0000, 0.0000, 0.5000]]
}

---

[7]
{
  "formula": "Ba2Sc2Sn2O",
  "functional": "GGA-PBE",
  "state": "optimized geometry",
  "dft_energy_ev_per_atom": -5.53,
  "dos_ef_per_ev_atom": 0.069,
  "cell": [[-2.3217, 2.3217, 9.1423], [2.3217, -2.3217, 9.1423], [2.3217, 2.3217, -9.1423]],
  "species": ["Ba", "Ba", "Sc", "Sc", "Sn", "Sn", "O"],
  "frac_coords": [[0.1679, 0.1679, 0.0000], [0.8321, 0.8321, 0.0000], [0.0000, 0.5000, 0.5000], [0.5000, 0.0000, 0.5000], [0.3883, 0.3883, 0.0000], [0.6117, 0.6117, 0.0000], [0.0000, 0.0000, 0.0000]]
}

---

[8]
{
  "formula": "Ba2ScSnO6",
  "functional": "GGA-PBE",
  "state": "optimized geometry",
  "dft_energy_ev_per_atom": -6.91,
  "dos_ef_per_ev_atom": 0.746,
  "cell": [[0.0000, 4.2059, 4.2059], [4.2059, 0.0000, 4.2059], [4.2059, 4.2059, 0.0000]],
  "species": ["Ba", "Ba", "Sc", "Sn", "O", "O", "O", "O", "O", "O"],
  "frac_coords": [[0.2500, 0.2500, 0.2500], [0.7500, 0.7500, 0.7500], [0.0000, 0.0000, 0.0000], [0.5000, 0.5000, 0.5000], [0.2516, 0.2516, 0.7484], [0.2516, 0.7484, 0.2516], [0.2516, 0.7484, 0.7484], [0.7484, 0.2516, 0.2516], [0.7484, 0.2516, 0.7484], [0.7484, 0.7484, 0.2516]]
}

---

[9]
{
  "formula": "Ba2SrScO6",
  "functional": "GGA-PBE",
  "state": "optimized geometry",
  "dft_energy_ev_per_atom": -6.44,
  "dos_ef_per_ev_atom": 0.873,
  "cell": [[6.1512, 0.0000, 0.0000], [-0.0004, 6.1515, 0.0000], [-3.0755, -3.0669, 4.5792]],
  "species": ["Ba", "Ba", "Sr", "Sc", "O", "O", "O", "O", "O", "O"],
  "frac_coords": [[0.2501, 0.2483, 0.0000], [0.7499, 0.7517, 0.0000], [0.0000, 0.5000, 0.5000], [0.5000, 0.0000, 0.5000], [0.1916, 0.1460, 0.5005], [0.2681, 0.7705, 0.0343], [0.3530, 0.6902, 0.4976], [0.6470, 0.3098, 0.5024], [0.7319, 0.2295, 0.9657], [0.8084, 0.8540, 0.4995]]
}

---

[10]
{
  "formula": "Ba2SrScO5",
  "functional": "GGA-PBE",
  "state": "optimized geometry",
  "dft_energy_ev_per_atom": -6.72,
  "cell": [[1.8964, -7.5337, 0.0000], [1.8964, 7.5337, 0.0000], [0.0000, 0.0000, 11.1045]],
  "species": ["Ba", "Ba", "Ba", "Ba", "Sr", "Sr", "Sc", "Sc", "O", "O", "O", "O", "O", "O", "O", "O", "O", "O"],
  "frac_coords": [[0.1141, 0.8859, 0.5000], [0.1269, 0.8731, 0.1002], [0.8731, 0.1269, 0.6002], [0.8859, 0.1141, 0.0000], [0.2132, 0.7868, 0.8171], [0.7868, 0.2132, 0.3171], [0.4789, 0.5211, 0.2872], [0.5211, 0.4789, 0.7872], [0.0434, 0.9566, 0.8571], [0.2874, 0.7126, 0.4693], [0.3465, 0.6535, 0.1907], [0.3835, 0.6165, 0.8035], [0.4935, 0.5065, 0.1051], [0.5065, 0.4935, 0.6051], [0.6165, 0.3835, 0.3035], [0.6535, 0.3465, 0.6907], [0.7126, 0.2874, 0.9693], [0.9566, 0.0434, 0.3571]]
}

---

[11]
{
  "formula": "BaSrScO4",
  "functional": "GGA-PBE",
  "state": "optimized geometry",
  "dft_energy_ev_per_atom": -7.00,
  "dos_ef_per_ev_atom": 0.793,
  "cell": [[-2.0811, 2.0811, 6.5757], [2.0811, -2.0811, 6.5757], [2.0811, 2.0811, -6.5757]],
  "species": ["Ba", "Sr", "Sc", "O", "O", "O", "O"],
  "frac_coords": [[0.0000, 0.0000, 0.0000], [0.7174, 0.7174, 0.0000], [0.3543, 0.3543, 0.0000], [0.1942, 0.1942, 0.0000], [0.3498, 0.8498, 0.5000], [0.5207, 0.5207, 0.0000], [0.8498, 0.3498, 0.5000]]
}

---

[12]
{
  "formula": "Ba3Sc2TaO9",
  "functional": "GGA-PBE",
  "state": "optimized geometry",
  "dft_energy_ev_per_atom": -8.04,
  "dos_ef_per_ev_atom": 0.548,
  "cell": [[5.9073, 0.0000, 0.0000], [-2.9537, 5.1159, 0.0000], [0.0000, 0.0000, 7.2602]],
  "species": ["Ba", "Ba", "Ba", "Sc", "Sc", "Ta", "O", "O", "O", "O", "O", "O", "O", "O", "O"],
  "frac_coords": [[0.0000, 0.0000, 0.0000], [0.3333, 0.6667, 0.6713], [0.6667, 0.3333, 0.3287], [0.3333, 0.6667, 0.1661], [0.6667, 0.3333, 0.8339], [0.0000, 0.0000, 0.5000], [0.0000, 0.5000, 0.0000], [0.1611, 0.3222, 0.3407], [0.1611, 0.8389, 0.3407], [0.3222, 0.1611, 0.6593], [0.5000, 0.0000, 0.0000], [0.5000, 0.5000, 0.0000], [0.6778, 0.8389, 0.3407], [0.8389, 0.1611, 0.6593], [0.8389, 0.6778, 0.6593]]
}